Record 1
## Cs2SrMnTe (GGA-PBEsol)

Data for an optimized crystal structure of Cs2SrMnTe.

a b c (Å): 7.234 7.234 5.015
angles (deg): 90.00 90.00 90.00
Positions (direct):
Cs  0.000  0.500  0.000
Cs  0.500  0.000  0.000
Sr  0.000  0.000  0.500
Mn  0.500  0.500  0.000
Te  0.500  0.500  0.500

Calculated values
As for the crystal system: tetragonal. Its total energy is -15.632 eV per cell.

Record 2
## MnAlCl2 (GGA-PBEsol)

Data for an optimized crystal structure of MnAlCl2.

a b c (Å): 6.820 6.820 6.820
angles (deg): 90.00 90.00 90.00
Positions (direct):
Mn  0.000  0.000  0.000
Mn  0.000  0.500  0.500
Mn  0.500  0.000  0.500
Mn  0.500  0.500  0.000
Al  0.250  0.250  0.250
Al  0.250  0.750  0.750
Al  0.750  0.250  0.750
Al  0.750  0.750  0.250
Cl  0.000  0.000  0.500
Cl  0.000  0.500  0.000
Cl  0.250  0.250  0.750
Cl  0.250  0.750  0.250
Cl  0.500  0.000  0.000
Cl  0.500  0.500  0.500
Cl  0.750  0.250  0.250
Cl  0.750  0.750  0.750

Calculated values
As for the crystal system: cubic. Its total energy is -66.727 eV per cell. The calculation puts the offset from the most stable computed form at 61.1 kJ/mol of atoms.

Record 3
## LiTe2NO (GGA-PBEsol)

Data for an optimized crystal structure of LiTe2NO.

a b c (Å): 4.597 4.597 3.944
angles (deg): 90.00 90.00 90.00
Positions (direct):
Li  0.000  0.000  0.000
Te  0.000  0.500  0.500
Te  0.500  0.000  0.500
N  0.500  0.500  0.000
O  0.500  0.500  0.500

Calculated values
As for the crystal system: tetragonal. Its total energy is -19.302 eV per cell.

Number 1: formation energy (no corrections) 0.2762 eV per atom, size of the total moment 3.6 μB/f.u.. Number 2: formation energy (no corrections) 0.2967 eV per atom, size of the total moment 5.2 μB/f.u.. Number 3: formation energy (no corrections) 0.6985 eV per atom, size of the total moment 0.0 μB/f.u..